A geometry-optimized BaCe2C2N6 structure. Source: Alexandria, functional GGA-PBE.

Output
Space group: P-1 (2)

Structure (extended XYZ):
```
11
Lattice="5.567 0.000 0.000 -1.775 5.528 0.000 -2.637 -1.778 5.525" Properties=species:S:1:pos:R:3 pbc="T T T"
Ba 0.000 0.000 0.000
Ce -0.277 0.447 3.714
Ce 1.432 3.303 1.811
C -1.481 2.897 3.939
C 2.637 0.854 1.586
N -2.523 3.620 3.439
N -1.569 2.117 5.064
N -0.276 2.906 3.284
N 1.431 0.845 2.241
N 2.724 1.634 0.461
N 3.678 0.130 2.086
```

A geometry-optimized Ba2CCl structure. Source: Alexandria, functional GGA-PBE.

Output
Space group: Fm-3m (225)
N(E_F): 0.91 states/eV per atom

Structure (extended XYZ):
```
4
Lattice="0.000 3.752 3.752 3.752 0.000 3.752 3.752 3.752 0.000" Properties=species:S:1:pos:R:3 pbc="T T T"
Ba 1.876 1.876 1.876
Ba 5.628 5.628 5.628
C 0.000 0.000 0.000
Cl 3.752 3.752 3.752
```

A geometry-optimized Ba2CCl structure. Source: Alexandria, functional GGA-PBE.

Output
Space group: I-42d (122)
N(E_F): 0.30 states/eV per atom

Structure (extended XYZ):
```
8
Lattice="-3.809 3.809 4.819 3.809 -3.809 4.819 3.809 3.809 -4.819" Properties=species:S:1:pos:R:3 pbc="T T T"
Ba 5.713 1.478 -1.205
Ba 1.478 1.904 1.205
Ba -1.904 2.331 3.615
Ba 2.331 1.904 6.024
C 0.000 0.000 0.000
C 0.000 3.809 2.410
Cl 3.809 0.000 2.410
Cl 0.000 0.000 4.819
```

A geometry-optimized BaC2Cl structure. Source: Alexandria, functional GGA-PBE.

Output
Space group: I4_1/amd (141)
N(E_F): 0.52 states/eV per atom

Structure (extended XYZ):
```
8
Lattice="-2.053 2.053 9.586 2.053 -2.053 9.586 2.053 2.053 -9.586" Properties=species:S:1:pos:R:3 pbc="T T T"
Ba 2.053 1.026 2.396
Ba 0.000 1.026 7.189
C 0.000 0.000 0.000
C 1.026 1.026 -4.793
C 1.026 -1.026 4.793
C 0.000 2.053 0.000
Cl 2.053 -1.026 7.189
Cl 0.000 3.079 2.396
```

A geometry-optimized BaC2Cl structure. Source: Alexandria, functional GGA-PBE.

Output
Space group: Fm-3m (225)
N(E_F): 1.49 states/eV per atom

Structure (extended XYZ):
```
4
Lattice="0.000 3.560 3.560 3.560 0.000 3.560 3.560 3.560 0.000" Properties=species:S:1:pos:R:3 pbc="T T T"
Ba 0.000 0.000 0.000
C 1.780 1.780 1.780
C 5.340 5.340 5.340
Cl 3.560 3.560 3.560
```

A geometry-optimized BaCCl2 structure. Source: Alexandria, functional GGA-PBE.

Output
Space group: Fm-3m (225)
N(E_F): 2.28 states/eV per atom

Structure (extended XYZ):
```
4
Lattice="0.000 3.722 3.722 3.722 0.000 3.722 3.722 3.722 0.000" Properties=species:S:1:pos:R:3 pbc="T T T"
Ba 0.000 0.000 0.000
C 3.722 3.722 3.722
Cl 1.861 1.861 1.861
Cl 5.583 5.583 5.583
```

A geometry-optimized BaCCl2 structure. Source: Alexandria, functional GGA-PBE.

Output
Space group: R-3m (166)
N(E_F): 0.00 states/eV per atom

Structure (extended XYZ):
```
4
Lattice="2.523 1.456 7.130 -2.523 1.456 7.130 0.000 -2.913 7.130" Properties=species:S:1:pos:R:3 pbc="T T T"
Ba 0.000 0.000 0.000
C 0.000 0.000 10.696
Cl 0.000 0.000 8.274
Cl 0.000 0.000 13.117
```

A geometry-optimized BaC3Cl structure. Source: Alexandria, functional GGA-PBE.

Output
Space group: Pm-3m (221)
N(E_F): 1.80 states/eV per atom

Structure (extended XYZ):
```
5
Lattice="5.287 0.000 0.000 0.000 5.287 0.000 0.000 0.000 5.287" Properties=species:S:1:pos:R:3 pbc="T T T"
Ba 0.000 0.000 0.000
C 0.000 0.000 2.643
C 0.000 2.643 0.000
C 2.643 0.000 0.000
Cl 2.643 2.643 2.643
```

Number 1: E -8.198 eV/atom, formation energy (no corrections) -726 meV per atom. Number 2: E -3.873 eV/atom, formation energy (no corrections) -144 meV per atom. Number 3: E -4.097 eV/atom, formation energy (no corrections) -368 meV per atom. Number 4: E -4.117 eV/atom, formation energy (no corrections) 1437 meV per atom. Number 5: E -3.511 eV/atom, formation energy (no corrections) 2043 meV per atom. Number 6: E -3.720 eV/atom, formation energy (no corrections) -10 meV per atom. Number 7: E -3.756 eV/atom, formation energy (no corrections) -46 meV per atom. Number 8: E -2.750 eV/atom, formation energy (no corrections) 3538 meV per atom.